[1]
Here is crystalline Sr2YTeN at its relaxed geometry from Alexandria. Energies are from PBEsol.

abc: 4.1721 6.3946 6.3946
angles: 90.00 90.00 90.00
Sites, in units of the cell vectors:
Y 0.0000 0.0000 0.0000
Sr 0.0000 0.0000 0.5000
Sr 0.0000 0.5000 0.0000
Te 0.5000 0.5000 0.5000
N 0.5000 0.0000 0.0000

SG: No. 123


[2]
Here is crystalline SrYTe2N at its relaxed geometry from Alexandria. Energies are from PBEsol.

abc: 4.4940 5.9388 5.9388
angles: 90.00 90.00 90.00
Sites, in units of the cell vectors:
Y 0.5000 0.5000 0.5000
Sr 0.0000 0.0000 0.0000
Te 0.0000 0.0000 0.5000
Te 0.0000 0.5000 0.0000
N 0.5000 0.0000 0.0000

SG: No. 123


[3]
Here is crystalline SrZnTeN2 at its relaxed geometry from Alexandria. Energies are from PBEsol.

abc: 4.6617 4.6617 6.5757
angles: 90.00 90.00 90.00
Sites, in units of the cell vectors:
Sr 0.0000 0.0000 0.0000
Zn 0.5000 0.5000 0.5000
Te 0.0000 0.0000 0.5000
N 0.0000 0.5000 0.0000
N 0.5000 0.0000 0.0000

SG: No. 123


[4]
Here is crystalline SrTi2N at its relaxed geometry from Alexandria. Energies are from PBEsol.

abc: 6.3277 6.3277 6.3277
angles: 60.00 60.00 60.00
Sites, in units of the cell vectors:
Sr 0.0000 0.0000 0.0000
Sr 0.2500 0.2500 0.2500
N 0.5000 0.5000 0.5000
N 0.7500 0.7500 0.7500
Ti 0.6250 0.1250 0.6250
Ti 0.1250 0.6250 0.6250
Ti 0.6250 0.6250 0.1250
Ti 0.6250 0.6250 0.6250

SG: No. 227


DFT total energy values, unit eV per atom, following the record order: -4.57; -4.63; -3.38; -7.18.
V values, unit Å³ per cell, following the record order: 170.6; 158.5; 142.9; 179.1.